# 1
# Be2CrMo

Crystalline Be2CrMo at its relaxed geometry (GGA-PBEsol, Alexandria).

Unit cell a=8.254 b=8.254 c=8.254 alpha=17.86 beta=17.86 gamma=17.86
Element x y z (fractional)
Be1 0.246 0.246 0.246
Be2 0.754 0.754 0.754
Cr1 0.500 0.500 0.500
Mo1 0.000 0.000 0.000

Calculated values
magnetic moment	0.00	μB/atom
E	-28.36	eV per cell
DOS(E_F)	3.2	states/eV per cell
polymorph energy (0 for the lowest one)	0.325	eV per atom
crystal system	trigonal
formation energy	40	kJ/mol of atoms



# 2
# Be4CrMo

Crystalline Be4CrMo at its relaxed geometry (GGA-PBEsol, Alexandria).

Unit cell a=4.308 b=4.308 c=7.045 alpha=90.00 beta=90.00 gamma=120.00
Element x y z (fractional)
Be1 0.000 0.000 0.000
Be2 0.000 0.000 0.500
Be3 0.170 0.340 0.240
Be4 0.170 0.830 0.240
Be5 0.340 0.170 0.760
Be6 0.660 0.830 0.240
Be7 0.830 0.170 0.760
Be8 0.830 0.660 0.760
Cr1 0.333 0.667 0.940
Cr2 0.667 0.333 0.060
Mo1 0.333 0.667 0.566
Mo2 0.667 0.333 0.434

Calculated values
magnetic moment	0.00	μB/atom
E	-78.86	eV per cell
DOS(E_F)	4.9	states/eV per cell
polymorph energy (0 for the lowest one)	0.003	eV per atom
crystal system	trigonal
formation energy	-23	kJ/mol of atoms